# Hf2HN

A crystal of Hf2HN relaxed with PBEsol (SCAN, Alexandria).

```
data_Hf2HN
_chemical_formula_sum 'Hf8 H4 N4'
_cell_length_a 4.989
_cell_length_b 4.989
_cell_length_c 8.707
_cell_angle_alpha 90.00
_cell_angle_beta 90.00
_cell_angle_gamma 90.00
_space_group_name_H-M_alt 'I -4 2 d'
_space_group_IT_number 122
_space_group_name_Hall 'I -4 2bw'
loop_
_atom_site_label
_atom_site_type_symbol
_atom_site_fract_x
_atom_site_fract_y
_atom_site_fract_z
Hf1 Hf 0.248 0.750 0.125
H1 H 0.000 0.000 0.500
N1 N 0.000 0.000 0.000
```


# HfHN2O

A crystal of HfHN2O relaxed with PBEsol (SCAN, Alexandria).

```
data_HfHN2O
_chemical_formula_sum 'Hf1 H1 N2 O1'
_cell_length_a 3.012
_cell_length_b 3.012
_cell_length_c 4.173
_cell_angle_alpha 90.00
_cell_angle_beta 90.00
_cell_angle_gamma 90.00
_space_group_name_H-M_alt 'P 4/m m m'
_space_group_IT_number 123
_space_group_name_Hall '-P 4 2'
loop_
_atom_site_label
_atom_site_type_symbol
_atom_site_fract_x
_atom_site_fract_y
_atom_site_fract_z
Hf1 Hf 0.000 0.000 0.000
H1 H 0.500 0.500 0.500
N1 N 0.000 0.500 0.500
O1 O 0.500 0.500 0.000
```


# HfHSN2

A crystal of HfHSN2 relaxed with PBEsol (SCAN, Alexandria).

```
data_HfHSN2
_chemical_formula_sum 'Hf1 H1 S1 N2'
_cell_length_a 4.150
_cell_length_b 4.150
_cell_length_c 5.004
_cell_angle_alpha 90.00
_cell_angle_beta 90.00
_cell_angle_gamma 90.00
_space_group_name_H-M_alt 'P 4/m m m'
_space_group_IT_number 123
_space_group_name_Hall '-P 4 2'
loop_
_atom_site_label
_atom_site_type_symbol
_atom_site_fract_x
_atom_site_fract_y
_atom_site_fract_z
Hf1 Hf 0.000 0.000 0.000
H1 H 0.500 0.500 0.500
S1 S 0.000 0.000 0.500
N1 N 0.000 0.500 0.000
```


# HfHSN2

A crystal of HfHSN2 relaxed with PBEsol (SCAN, Alexandria).

```
data_HfHSN2
_chemical_formula_sum 'Hf1 H1 S1 N2'
_cell_length_a 3.838
_cell_length_b 3.838
_cell_length_c 3.078
_cell_angle_alpha 90.00
_cell_angle_beta 90.00
_cell_angle_gamma 90.00
_space_group_name_H-M_alt 'P 4/m m m'
_space_group_IT_number 123
_space_group_name_Hall '-P 4 2'
loop_
_atom_site_label
_atom_site_type_symbol
_atom_site_fract_x
_atom_site_fract_y
_atom_site_fract_z
Hf1 Hf 0.000 0.000 0.000
H1 H 0.500 0.500 0.500
S1 S 0.500 0.500 0.000
N1 N 0.000 0.500 0.500
```


# HfHSe2N

A crystal of HfHSe2N relaxed with PBEsol (SCAN, Alexandria).

```
data_HfHSe2N
_chemical_formula_sum 'Hf1 H1 Se2 N1'
_cell_length_a 5.151
_cell_length_b 5.151
_cell_length_c 4.129
_cell_angle_alpha 90.00
_cell_angle_beta 90.00
_cell_angle_gamma 90.00
_space_group_name_H-M_alt 'P 4/m m m'
_space_group_IT_number 123
_space_group_name_Hall '-P 4 2'
loop_
_atom_site_label
_atom_site_type_symbol
_atom_site_fract_x
_atom_site_fract_y
_atom_site_fract_z
Hf1 Hf 0.000 0.000 0.000
H1 H 0.500 0.500 0.500
Se1 Se 0.000 0.500 0.000
N1 N 0.000 0.000 0.500
```


# HfTl2HN

A crystal of HfTl2HN relaxed with PBEsol (SCAN, Alexandria).

```
data_HfTl2HN
_chemical_formula_sum 'Hf1 Tl2 H1 N1'
_cell_length_a 5.234
_cell_length_b 5.234
_cell_length_c 2.928
_cell_angle_alpha 90.00
_cell_angle_beta 90.00
_cell_angle_gamma 90.00
_space_group_name_H-M_alt 'P 4/m m m'
_space_group_IT_number 123
_space_group_name_Hall '-P 4 2'
loop_
_atom_site_label
_atom_site_type_symbol
_atom_site_fract_x
_atom_site_fract_y
_atom_site_fract_z
Hf1 Hf 0.000 0.000 0.000
Tl1 Tl 0.000 0.500 0.500
H1 H 0.500 0.500 0.500
N1 N 0.500 0.500 0.000
```


# Hf2NbH2

A crystal of Hf2NbH2 relaxed with PBEsol (SCAN, Alexandria).

```
data_Hf2NbH2
_chemical_formula_sum 'Hf4 Nb2 H4'
_cell_length_a 3.133
_cell_length_b 3.133
_cell_length_c 13.417
_cell_angle_alpha 90.00
_cell_angle_beta 90.00
_cell_angle_gamma 90.00
_space_group_name_H-M_alt 'I 4/m m m'
_space_group_IT_number 139
_space_group_name_Hall '-I 4 2'
loop_
_atom_site_label
_atom_site_type_symbol
_atom_site_fract_x
_atom_site_fract_y
_atom_site_fract_z
Hf1 Hf 0.000 0.000 0.150
Nb1 Nb 0.000 0.000 0.500
H1 H 0.000 0.500 0.250
```


# RbHfNb2H

A crystal of RbHfNb2H relaxed with PBEsol (SCAN, Alexandria).

```
data_RbHfNb2H
_chemical_formula_sum 'Rb1 Hf1 Nb2 H1'
_cell_length_a 5.475
_cell_length_b 5.475
_cell_length_c 3.480
_cell_angle_alpha 90.00
_cell_angle_beta 90.00
_cell_angle_gamma 90.00
_space_group_name_H-M_alt 'P 4/m m m'
_space_group_IT_number 123
_space_group_name_Hall '-P 4 2'
loop_
_atom_site_label
_atom_site_type_symbol
_atom_site_fract_x
_atom_site_fract_y
_atom_site_fract_z
Rb1 Rb 0.000 0.000 0.000
Hf1 Hf 0.500 0.500 0.500
Nb1 Nb 0.000 0.500 0.500
H1 H 0.500 0.500 0.000
```


# HfH3O

A crystal of HfH3O relaxed with PBEsol (SCAN, Alexandria).

```
data_HfH3O
_chemical_formula_sum 'Hf1 H3 O1'
_cell_length_a 3.307
_cell_length_b 3.307
_cell_length_c 3.307
_cell_angle_alpha 90.00
_cell_angle_beta 90.00
_cell_angle_gamma 90.00
_space_group_name_H-M_alt 'P m -3 m'
_space_group_IT_number 221
_space_group_name_Hall '-P 4 2 3'
loop_
_atom_site_label
_atom_site_type_symbol
_atom_site_fract_x
_atom_site_fract_y
_atom_site_fract_z
Hf1 Hf 0.000 0.000 0.000
H1 H 0.000 0.500 0.500
O1 O 0.500 0.500 0.500
```


# Hf2H2Os

A crystal of Hf2H2Os relaxed with PBEsol (SCAN, Alexandria).

```
data_Hf2H2Os
_chemical_formula_sum 'Hf4 H4 Os2'
_cell_length_a 3.148
_cell_length_b 3.148
_cell_length_c 11.957
_cell_angle_alpha 90.00
_cell_angle_beta 90.00
_cell_angle_gamma 90.00
_space_group_name_H-M_alt 'I 4/m m m'
_space_group_IT_number 139
_space_group_name_Hall '-I 4 2'
loop_
_atom_site_label
_atom_site_type_symbol
_atom_site_fract_x
_atom_site_fract_y
_atom_site_fract_z
Hf1 Hf 0.000 0.000 0.138
H1 H 0.000 0.500 0.250
Os1 Os 0.000 0.000 0.500
```


# Hf2HOs

A crystal of Hf2HOs relaxed with PBEsol (SCAN, Alexandria).

```
data_Hf2HOs
_chemical_formula_sum 'Hf8 H4 Os4'
_cell_length_a 6.283
_cell_length_b 6.283
_cell_length_c 6.283
_cell_angle_alpha 90.00
_cell_angle_beta 90.00
_cell_angle_gamma 90.00
_space_group_name_H-M_alt 'F m -3 m'
_space_group_IT_number 225
_space_group_name_Hall '-F 4 2 3'
loop_
_atom_site_label
_atom_site_type_symbol
_atom_site_fract_x
_atom_site_fract_y
_atom_site_fract_z
Hf1 Hf 0.250 0.250 0.250
H1 H 0.000 0.000 0.000
Os1 Os 0.000 0.000 0.500
```


# HfPH

A crystal of HfPH relaxed with PBEsol (SCAN, Alexandria).

```
data_HfPH
_chemical_formula_sum 'Hf1 P1 H1'
_cell_length_a 3.4925
_cell_length_b 3.4925
_cell_length_c 3.4394
_cell_angle_alpha 90.00
_cell_angle_beta 90.00
_cell_angle_gamma 120.00
_space_group_name_H-M_alt 'P -6 m 2'
_space_group_IT_number 187
_space_group_name_Hall 'P -6 2'
loop_
_atom_site_label
_atom_site_type_symbol
_atom_site_fract_x
_atom_site_fract_y
_atom_site_fract_z
Hf1 Hf 0.0000 0.0000 0.0000
P1 P 0.6667 0.3333 0.5000
H1 H 0.3333 0.6667 0.0000
```


# HfP2HRh

A crystal of HfP2HRh relaxed with PBEsol (SCAN, Alexandria).

```
data_HfP2HRh
_chemical_formula_sum 'Hf1 P2 H1 Rh1'
_cell_length_a 4.905
_cell_length_b 4.905
_cell_length_c 4.773
_cell_angle_alpha 90.00
_cell_angle_beta 90.00
_cell_angle_gamma 90.00
_space_group_name_H-M_alt 'P 4/m m m'
_space_group_IT_number 123
_space_group_name_Hall '-P 4 2'
loop_
_atom_site_label
_atom_site_type_symbol
_atom_site_fract_x
_atom_site_fract_y
_atom_site_fract_z
Hf1 Hf 0.000 0.000 0.000
P1 P 0.000 0.500 0.000
H1 H 0.500 0.500 0.500
Rh1 Rh 0.000 0.000 0.500
```


# Hf3HPb

A crystal of Hf3HPb relaxed with PBEsol (SCAN, Alexandria).

```
data_Hf3HPb
_chemical_formula_sum 'Hf3 H1 Pb1'
_cell_length_a 4.414
_cell_length_b 4.414
_cell_length_c 4.414
_cell_angle_alpha 90.00
_cell_angle_beta 90.00
_cell_angle_gamma 90.00
_space_group_name_H-M_alt 'P m -3 m'
_space_group_IT_number 221
_space_group_name_Hall '-P 4 2 3'
loop_
_atom_site_label
_atom_site_type_symbol
_atom_site_fract_x
_atom_site_fract_y
_atom_site_fract_z
Hf1 Hf 0.000 0.000 0.500
H1 H 0.000 0.000 0.000
Pb1 Pb 0.500 0.500 0.500
```


# Hf3HPd

A crystal of Hf3HPd relaxed with PBEsol (SCAN, Alexandria).

```
data_Hf3HPd
_chemical_formula_sum 'Hf3 H1 Pd1'
_cell_length_a 4.277
_cell_length_b 4.277
_cell_length_c 4.277
_cell_angle_alpha 90.00
_cell_angle_beta 90.00
_cell_angle_gamma 90.00
_space_group_name_H-M_alt 'P m -3 m'
_space_group_IT_number 221
_space_group_name_Hall '-P 4 2 3'
loop_
_atom_site_label
_atom_site_type_symbol
_atom_site_fract_x
_atom_site_fract_y
_atom_site_fract_z
Hf1 Hf 0.000 0.000 0.500
H1 H 0.000 0.000 0.000
Pd1 Pd 0.500 0.500 0.500
```


# Hf2H2Pt

A crystal of Hf2H2Pt relaxed with PBEsol (SCAN, Alexandria).

```
data_Hf2H2Pt
_chemical_formula_sum 'Hf4 H4 Pt2'
_cell_length_a 3.171
_cell_length_b 3.171
_cell_length_c 12.083
_cell_angle_alpha 90.00
_cell_angle_beta 90.00
_cell_angle_gamma 90.00
_space_group_name_H-M_alt 'I 4/m m m'
_space_group_IT_number 139
_space_group_name_Hall '-I 4 2'
loop_
_atom_site_label
_atom_site_type_symbol
_atom_site_fract_x
_atom_site_fract_y
_atom_site_fract_z
Hf1 Hf 0.000 0.000 0.141
H1 H 0.000 0.500 0.250
Pt1 Pt 0.000 0.000 0.500
```


# HfH2Pt2

A crystal of HfH2Pt2 relaxed with PBEsol (SCAN, Alexandria).

```
data_HfH2Pt2
_chemical_formula_sum 'Hf2 H4 Pt4'
_cell_length_a 3.600
_cell_length_b 3.600
_cell_length_c 8.551
_cell_angle_alpha 90.00
_cell_angle_beta 90.00
_cell_angle_gamma 90.00
_space_group_name_H-M_alt 'I 4/m m m'
_space_group_IT_number 139
_space_group_name_Hall '-I 4 2'
loop_
_atom_site_label
_atom_site_type_symbol
_atom_site_fract_x
_atom_site_fract_y
_atom_site_fract_z
Hf1 Hf 0.000 0.000 0.000
H1 H 0.000 0.500 0.250
Pt1 Pt 0.000 0.000 0.339
```


# Hf3HPt

A crystal of Hf3HPt relaxed with PBEsol (SCAN, Alexandria).

```
data_Hf3HPt
_chemical_formula_sum 'Hf3 H1 Pt1'
_cell_length_a 4.262
_cell_length_b 4.262
_cell_length_c 4.262
_cell_angle_alpha 90.00
_cell_angle_beta 90.00
_cell_angle_gamma 90.00
_space_group_name_H-M_alt 'P m -3 m'
_space_group_IT_number 221
_space_group_name_Hall '-P 4 2 3'
loop_
_atom_site_label
_atom_site_type_symbol
_atom_site_fract_x
_atom_site_fract_y
_atom_site_fract_z
Hf1 Hf 0.000 0.000 0.500
H1 H 0.000 0.000 0.000
Pt1 Pt 0.500 0.500 0.500
```


# RbHf3H

A crystal of RbHf3H relaxed with PBEsol (SCAN, Alexandria).

```
data_RbHf3H
_chemical_formula_sum 'Rb1 Hf3 H1'
_cell_length_a 4.592
_cell_length_b 4.592
_cell_length_c 4.592
_cell_angle_alpha 90.00
_cell_angle_beta 90.00
_cell_angle_gamma 90.00
_space_group_name_H-M_alt 'P m -3 m'
_space_group_IT_number 221
_space_group_name_Hall '-P 4 2 3'
loop_
_atom_site_label
_atom_site_type_symbol
_atom_site_fract_x
_atom_site_fract_y
_atom_site_fract_z
Rb1 Rb 0.000 0.000 0.000
Hf1 Hf 0.000 0.500 0.500
H1 H 0.500 0.500 0.500
```


# RbHfH2

A crystal of RbHfH2 relaxed with PBEsol (SCAN, Alexandria).

```
data_RbHfH2
_chemical_formula_sum 'Rb4 Hf4 H8'
_cell_length_a 5.835
_cell_length_b 5.835
_cell_length_c 8.119
_cell_angle_alpha 90.00
_cell_angle_beta 90.00
_cell_angle_gamma 90.00
_space_group_name_H-M_alt 'I -4 2 d'
_space_group_IT_number 122
_space_group_name_Hall 'I -4 2bw'
loop_
_atom_site_label
_atom_site_type_symbol
_atom_site_fract_x
_atom_site_fract_y
_atom_site_fract_z
Rb1 Rb 0.000 0.000 0.000
Hf1 Hf 0.000 0.000 0.500
H1 H 0.129 0.750 0.625
```


| no. | DOS at the Fermi energy (states/eV per cell) | E (eV for the cell shown) |
| --- | --- | --- |
| 1 | 3.3 | -566.804 |
| 2 | 0.7 | -91.644 |
| 3 | 2.3 | -90.412 |
| 4 | 2.2 | -90.664 |
| 5 | 2.4 | -113.719 |
| 6 | 2.4 | -216.580 |
| 7 | 6.6 | -333.354 |
| 8 | 5.4 | -145.053 |
| 9 | 1.5 | -76.408 |
| 10 | 1.5 | -415.553 |
| 11 | 10.7 | -804.299 |
| 12 | 0.0 | -79.781 |
| 13 | 2.6 | -114.839 |
| 14 | 4.6 | -268.461 |
| 15 | 5.1 | -225.836 |
| 16 | 5.8 | -412.985 |
| 17 | 1.9 | -425.062 |
| 18 | 5.0 | -264.508 |
| 19 | 3.7 | -207.832 |
| 20 | 7.8 | -356.953 |